Record 1
VASP calculation (meta-GGA SCAN) on a crystal of LiRu2F relaxed with PBEsol.

The calculation puts the density of states at the Fermi level at 12.71 states/eV per cell. For the magnetization, the calculation gives 3.7 μB per formula unit. For the uncorrected formation energy, the calculation gives 0.633 eV per atom. The calculated total energy comes out at -18.262 eV/atom. The density is 8.0 Mg/m³.

It has space group Fm-3m (No. 225), with a = 5.7409 Å, b = 5.7409 Å, c = 5.7409 Å, α = 90.00°, β = 90.00° and γ = 90.00°. The inequivalent atoms are Li at (0.0000, 0.0000, 0.0000), Ru at (0.2500, 0.2500, 0.2500) and F at (0.0000, 0.0000, 0.5000).

Record 2
VASP calculation (meta-GGA SCAN) on a crystal of Li3RuF relaxed with PBEsol.

The calculation puts the density of states at the Fermi level at 4.43 states/eV per cell. For the magnetization, the calculation gives 1.5 μB per formula unit. For the uncorrected formation energy, the calculation gives -0.571 eV per atom. The calculated total energy comes out at -9.678 eV/atom. The density is 3.9 Mg/m³.

It has space group Pm-3m (No. 221), with a = 3.9097 Å, b = 3.9097 Å, c = 3.9097 Å, α = 90.00°, β = 90.00° and γ = 90.00°. The inequivalent atoms are Li at (0.0000, 0.0000, 0.5000), Ru at (0.5000, 0.5000, 0.5000) and F at (0.0000, 0.0000, 0.0000).

Record 3
VASP calculation (meta-GGA SCAN) on a crystal of LiSi2RuF relaxed with PBEsol.

The calculation puts the density of states at the Fermi level at 1.51 states/eV per cell. For the magnetization, the calculation gives 0.0 μB per formula unit. For the uncorrected formation energy, the calculation gives -0.215 eV per atom. The calculated total energy comes out at -12.373 eV/atom. The density is 3.2 Mg/m³.

It has space group P4/mmm (No. 123), with a = 4.4479 Å, b = 4.4479 Å, c = 4.8358 Å, α = 90.00°, β = 90.00° and γ = 90.00°. The inequivalent atoms are Li at (0.0000, 0.0000, 0.0000), Si at (0.0000, 0.5000, 0.5000), Ru at (0.0000, 0.0000, 0.5000) and F at (0.5000, 0.5000, 0.0000).

Record 4
VASP calculation (meta-GGA SCAN) on a crystal of LiSF2 relaxed with PBEsol.

The calculation puts the density of states at the Fermi level at 3.46 states/eV per cell. For the magnetization, the calculation gives 0.1 μB per formula unit. For the uncorrected formation energy, the calculation gives -1.723 eV per atom. The calculated total energy comes out at -6.497 eV/atom. The density is 2.8 Mg/m³.

It has space group R-3m (No. 166, hexagonal axes), with a = 2.9718 Å, b = 2.9718 Å, c = 17.6536 Å, α = 90.00°, β = 90.00° and γ = 120.00°. The inequivalent atoms are Li at (0.0000, 0.0000, 0.0000), S at (0.0000, 0.0000, 0.5000) and F at (0.0000, 0.0000, 0.3920).

Record 5
VASP calculation (meta-GGA SCAN) on a crystal of LiSb2F relaxed with PBEsol.

The calculation puts the density of states at the Fermi level at 4.78 states/eV per cell. For the magnetization, the calculation gives 0.0 μB per formula unit. For the uncorrected formation energy, the calculation gives -0.680 eV per atom. The calculated total energy comes out at -20.793 eV/atom. The density is 5.1 Mg/m³.

It has space group I-42d (No. 122), with a = 4.0888 Å, b = 4.0888 Å, c = 21.1807 Å, α = 90.00°, β = 90.00° and γ = 90.00°. The inequivalent atoms are Li at (0.0000, 0.0000, 0.0000), Sb at (0.2442, 0.2500, 0.1250) and F at (0.0000, 0.0000, 0.5000).

Record 6
VASP calculation (meta-GGA SCAN) on a crystal of LiSbF6 relaxed with PBEsol.

The calculation puts the density of states at the Fermi level at 0.00 states/eV per cell. For the magnetization, the calculation gives 0.0 μB per formula unit. For the uncorrected formation energy, the calculation gives -2.673 eV per atom. The calculated total energy comes out at -10.285 eV/atom. The density is 3.8 Mg/m³.

It has space group R-3 (No. 148, hexagonal axes), with a = 5.1720 Å, b = 5.1720 Å, c = 13.6173 Å, α = 90.00°, β = 90.00° and γ = 120.00°. The inequivalent atoms are Li at (0.0000, 0.0000, 0.0000), Sb at (0.0000, 0.0000, 0.5000) and F at (0.0105, 0.6160, 0.2475).

Record 7
VASP calculation (meta-GGA SCAN) on a crystal of LiSb2TeF relaxed with PBEsol.

The calculation puts the density of states at the Fermi level at 2.10 states/eV per cell. For the magnetization, the calculation gives 0.0 μB per formula unit. For the uncorrected formation energy, the calculation gives -0.030 eV per atom. The calculated total energy comes out at -23.571 eV/atom. The density is 5.9 Mg/m³.

It has space group P4/mmm (No. 123), with a = 4.8380 Å, b = 4.8380 Å, c = 4.7861 Å, α = 90.00°, β = 90.00° and γ = 90.00°. The inequivalent atoms are Li at (0.0000, 0.0000, 0.0000), Sb at (0.0000, 0.5000, 0.0000), Te at (0.0000, 0.0000, 0.5000) and F at (0.5000, 0.5000, 0.5000).

Record 8
VASP calculation (meta-GGA SCAN) on a crystal of LiScF2 relaxed with PBEsol.

The calculation puts the density of states at the Fermi level at 4.87 states/eV per cell. For the magnetization, the calculation gives 0.5 μB per formula unit. For the uncorrected formation energy, the calculation gives -2.403 eV per atom. The calculated total energy comes out at -8.329 eV/atom. The density is 2.8 Mg/m³.

It has space group R-3m (No. 166, hexagonal axes), with a = 3.0295 Å, b = 3.0295 Å, c = 19.9626 Å, α = 90.00°, β = 90.00° and γ = 120.00°. The inequivalent atoms are Li at (0.0000, 0.0000, 0.0000), Sc at (0.0000, 0.0000, 0.5000) and F at (0.0000, 0.0000, 0.0932).

Record 9
VASP calculation (meta-GGA SCAN) on a crystal of LiScTc2F relaxed with PBEsol.

The calculation puts the density of states at the Fermi level at 3.81 states/eV per cell. For the magnetization, the calculation gives 4.7 μB per formula unit. For the uncorrected formation energy, the calculation gives 1.384 eV per atom. The calculated total energy comes out at -16.673 eV/atom. The density is 3.7 Mg/m³.

It has space group P4/mmm (No. 123), with a = 4.5566 Å, b = 4.5566 Å, c = 5.8049 Å, α = 90.00°, β = 90.00° and γ = 90.00°. The inequivalent atoms are Li at (0.0000, 0.0000, 0.0000), Sc at (0.0000, 0.0000, 0.5000), Tc at (0.0000, 0.5000, 0.5000) and F at (0.5000, 0.5000, 0.0000).

Record 10
VASP calculation (meta-GGA SCAN) on a crystal of LiSeF2 relaxed with PBEsol.

For the distance to the lowest polymorph of the same formula, the calculation gives 410 meV per atom. The calculation puts the density of states at the Fermi level at 5.05 states/eV per cell. For the magnetization, the calculation gives 2.9 μB per formula unit. For the uncorrected formation energy, the calculation gives -1.041 eV per atom. The calculated total energy comes out at -8.428 eV/atom. The density is 3.8 Mg/m³.

It has space group Fm-3m (No. 225), with a = 5.9908 Å, b = 5.9908 Å, c = 5.9908 Å, α = 90.00°, β = 90.00° and γ = 90.00°. The inequivalent atoms are Li at (0.0000, 0.0000, 0.0000), Se at (0.0000, 0.0000, 0.5000) and F at (0.2500, 0.2500, 0.2500).

Record 11
VASP calculation (meta-GGA SCAN) on a crystal of LiSeF2 relaxed with PBEsol.

For the distance to the lowest polymorph of the same formula, the calculation gives 0 meV per atom. The calculation puts the density of states at the Fermi level at 5.01 states/eV per cell. For the magnetization, the calculation gives 0.0 μB per formula unit. For the uncorrected formation energy, the calculation gives -1.450 eV per atom. The calculated total energy comes out at -8.837 eV/atom. The density is 4.0 Mg/m³.

It has space group I-42d (No. 122), with a = 5.1014 Å, b = 5.1014 Å, c = 7.8933 Å, α = 90.00°, β = 90.00° and γ = 90.00°. The inequivalent atoms are Li at (0.0000, 0.0000, 0.0000), Se at (0.0000, 0.0000, 0.5000) and F at (0.1450, 0.7500, 0.1250).

Record 12
VASP calculation (meta-GGA SCAN) on a crystal of LiSi2F relaxed with PBEsol.

The calculation puts the density of states at the Fermi level at 3.58 states/eV per cell. For the magnetization, the calculation gives 0.0 μB per formula unit. For the uncorrected formation energy, the calculation gives -0.731 eV per atom. The calculated total energy comes out at -7.221 eV/atom. The density is 2.1 Mg/m³.

It has space group I-42d (No. 122), with a = 3.2922 Å, b = 3.2922 Å, c = 23.5111 Å, α = 90.00°, β = 90.00° and γ = 90.00°. The inequivalent atoms are Li at (0.0000, 0.0000, 0.0000), Si at (0.2464, 0.2500, 0.1250) and F at (0.0000, 0.0000, 0.5000).

Record 13
VASP calculation (meta-GGA SCAN) on a crystal of Li3SiF relaxed with PBEsol.

The calculation puts the density of states at the Fermi level at 1.30 states/eV per cell. For the magnetization, the calculation gives 0.0 μB per formula unit. For the uncorrected formation energy, the calculation gives -1.157 eV per atom. The calculated total energy comes out at -5.302 eV/atom. The density is 1.8 Mg/m³.

It has space group Pm-3m (No. 221), with a = 3.9552 Å, b = 3.9552 Å, c = 3.9552 Å, α = 90.00°, β = 90.00° and γ = 90.00°. The inequivalent atoms are Li at (0.0000, 0.0000, 0.5000), Si at (0.5000, 0.5000, 0.5000) and F at (0.0000, 0.0000, 0.0000).

Record 14
VASP calculation (meta-GGA SCAN) on a crystal of Li2SiF6 relaxed with PBEsol.

The calculation puts the density of states at the Fermi level at 0.00 states/eV per cell. For the magnetization, the calculation gives 0.0 μB per formula unit. For the uncorrected formation energy, the calculation gives -3.332 eV per atom. The calculated total energy comes out at -7.336 eV/atom. The density is 3.0 Mg/m³.

It has space group P321 (No. 150), with a = 8.1901 Å, b = 8.1901 Å, c = 4.5246 Å, α = 90.00°, β = 90.00° and γ = 120.00°. The inequivalent atoms are Li at (0.0000, 0.2964, 0.0000), Li at (0.0000, 0.6321, 0.5000), Si at (0.0000, 0.0000, 0.5000), Si at (0.3333, 0.6667, 0.9874), F at (0.0941, 0.8964, 0.7134), F at (0.1365, 0.5538, 0.7725) and F at (0.2253, 0.7563, 0.2022).

Record 15
VASP calculation (meta-GGA SCAN) on a crystal of LiSn3F relaxed with PBEsol.

The calculation puts the density of states at the Fermi level at 1.87 states/eV per cell. For the magnetization, the calculation gives 0.0 μB per formula unit. For the uncorrected formation energy, the calculation gives -0.380 eV per atom. The calculated total energy comes out at -23.119 eV/atom. The density is 5.4 Mg/m³.

It has space group Pm-3m (No. 221), with a = 4.8869 Å, b = 4.8869 Å, c = 4.8869 Å, α = 90.00°, β = 90.00° and γ = 90.00°. The inequivalent atoms are Li at (0.0000, 0.0000, 0.0000), Sn at (0.0000, 0.5000, 0.5000) and F at (0.5000, 0.5000, 0.5000).

Record 16
VASP calculation (meta-GGA SCAN) on a crystal of Sr2LiF2 relaxed with PBEsol.

The calculation puts the density of states at the Fermi level at 3.68 states/eV per cell. For the magnetization, the calculation gives 0.3 μB per formula unit. For the uncorrected formation energy, the calculation gives -2.440 eV per atom. The calculated total energy comes out at -13.244 eV/atom. The density is 2.9 Mg/m³.

It has space group I4/mmm (No. 139), with a = 4.1624 Å, b = 4.1624 Å, c = 14.3546 Å, α = 90.00°, β = 90.00° and γ = 90.00°. The inequivalent atoms are Sr at (0.0000, 0.0000, 0.1550), Li at (0.0000, 0.0000, 0.5000) and F at (0.0000, 0.5000, 0.2500).

Record 17
VASP calculation (meta-GGA SCAN) on a crystal of SrLiVF6 relaxed with PBEsol.

The calculation puts the density of states at the Fermi level at 13.73 states/eV per cell. For the magnetization, the calculation gives 2.0 μB per formula unit. For the uncorrected formation energy, the calculation gives -3.517 eV per atom. The calculated total energy comes out at -10.560 eV/atom. The density is 3.6 Mg/m³.

It has space group P-31c (No. 163), with a = 5.1804 Å, b = 5.1804 Å, c = 10.3974 Å, α = 90.00°, β = 90.00° and γ = 120.00°. The inequivalent atoms are Sr at (0.0000, 0.0000, 0.0000), Li at (0.3333, 0.6667, 0.2500), V at (0.3333, 0.6667, 0.7500) and F at (0.0130, 0.3720, 0.6448).

Record 18
VASP calculation (meta-GGA SCAN) on a crystal of Li2TbF6 relaxed with PBEsol.

For the magnetization, the calculation gives 1.1 μB per formula unit. For the uncorrected formation energy, the calculation gives -3.314 eV per atom. The calculated total energy comes out at -11.401 eV/atom. The density is 4.9 Mg/m³.

It has space group P2_1/c (No. 14), with a = 7.7459 Å, b = 4.2407 Å, c = 12.1059 Å, α = 90.00°, β = 104.32° and γ = 90.00°. The inequivalent atoms are Li at (0.0512, 0.0252, 0.1781), Li at (0.3733, 0.5648, 0.3046), Tb at (0.2500, 0.5353, 0.9984), F at (0.0226, 0.7402, 0.0590), F at (0.1164, 0.6627, 0.8167), F at (0.2443, 0.2202, 0.6705), F at (0.3018, 0.0470, 0.9485), F at (0.3888, 0.6539, 0.6639) and F at (0.4672, 0.5617, 0.8946).

Record 19
VASP calculation (meta-GGA SCAN) on a crystal of LiTcF2 relaxed with PBEsol.

For the distance to the lowest polymorph of the same formula, the calculation gives 59 meV per atom. The calculation puts the density of states at the Fermi level at 4.04 states/eV per cell. For the magnetization, the calculation gives 0.0 μB per formula unit. For the uncorrected formation energy, the calculation gives -1.212 eV per atom. The calculated total energy comes out at -12.345 eV/atom. The density is 5.4 Mg/m³.

It has space group R-3m (No. 166, hexagonal axes), with a = 2.6461 Å, b = 2.6461 Å, c = 21.8481 Å, α = 90.00°, β = 90.00° and γ = 120.00°. The inequivalent atoms are Li at (0.0000, 0.0000, 0.0000), Tc at (0.0000, 0.0000, 0.5000) and F at (0.0000, 0.0000, 0.0758).

Record 20
VASP calculation (meta-GGA SCAN) on a crystal of LiTc2F relaxed with PBEsol.

For the distance to the lowest polymorph of the same formula, the calculation gives 860 meV per atom. The calculation puts the density of states at the Fermi level at 18.20 states/eV per cell. For the magnetization, the calculation gives 0.0 μB per formula unit. For the uncorrected formation energy, the calculation gives 0.801 eV per atom. The calculated total energy comes out at -18.212 eV/atom. The density is 7.9 Mg/m³.

It has space group Fm-3m (No. 225), with a = 5.7173 Å, b = 5.7173 Å, c = 5.7173 Å, α = 90.00°, β = 90.00° and γ = 90.00°. The inequivalent atoms are Li at (0.0000, 0.0000, 0.0000), Tc at (0.2500, 0.2500, 0.2500) and F at (0.0000, 0.0000, 0.5000).